This record from Alexandria describes crystalline PrAgWO5 at its relaxed geometry. The functional is GGA+U.

a = 6.503 Å, b = 6.503 Å, c = 8.866 Å
α = 110.13°, β = 110.13°, γ = 91.49°
Sites, in units of the cell vectors:
O 0.294 0.331 0.655
O 0.747 0.253 0.415
O 0.747 0.253 0.085
O 0.669 0.706 0.845
O 0.706 0.669 0.345
O 0.928 0.072 0.750
Pr 0.000 0.000 0.500
O 0.253 0.747 0.585
Pr 0.000 0.000 0.000
O 0.331 0.294 0.155
W 0.366 0.634 0.750
O 0.253 0.747 0.915
Ag 0.701 0.299 0.750
O 0.072 0.928 0.250
W 0.634 0.366 0.250
Ag 0.299 0.701 0.250

DOS at the Fermi energy ... 0.0 states/eV/f.u.
Space-group type ... C2/c, No. 15
Theoretical density ... 5.22 g/cm³
Total energy ... -6.944 eV/atom